(1)
{"formula": "CdRuN2O", "functional": "PBE", "state": "optimized geometry", "cell": [[3.7635, 0.0000, 0.0000], [0.0000, 3.7635, 0.0000], [0.0000, 0.0000, 4.4086]], "species": ["Cd", "Ru", "N", "N", "O"], "frac_coords": [[0.0000, 0.0000, 0.0000], [0.5000, 0.5000, 0.5000], [0.0000, 0.5000, 0.5000], [0.5000, 0.0000, 0.5000], [0.5000, 0.5000, 0.0000]], "energy_ev_per_atom": -5.87, "magmom_total_mub_per_cell": 0.0, "rho_g_cm3": 6.85, "sg": "P4/mmm, No. 123"}

(2)
{"formula": "CdRuN2O", "functional": "PBE", "state": "optimized geometry", "cell": [[4.1460, 0.0000, 0.0000], [0.0000, 4.1460, 0.0000], [0.0000, 0.0000, 4.0361]], "species": ["Cd", "Ru", "N", "N", "O"], "frac_coords": [[0.0000, 0.0000, 0.0000], [0.5000, 0.5000, 0.5000], [0.0000, 0.5000, 0.0000], [0.5000, 0.0000, 0.0000], [0.0000, 0.0000, 0.5000]], "energy_ev_per_atom": -4.19, "magmom_total_mub_per_cell": 3.4, "rho_g_cm3": 6.16, "sg": "P4/mmm, No. 123"}

(3)
{"formula": "CdRuNO2", "functional": "PBE", "state": "optimized geometry", "cell": [[4.1271, 0.0000, 0.0000], [0.0000, 4.1271, 0.0000], [0.0000, 0.0000, 4.2598]], "species": ["Cd", "Ru", "N", "O", "O"], "frac_coords": [[0.0000, 0.0000, 0.0000], [0.5000, 0.5000, 0.5000], [0.0000, 0.0000, 0.5000], [0.0000, 0.5000, 0.0000], [0.5000, 0.0000, 0.0000]], "energy_ev_per_atom": -4.26, "magmom_total_mub_per_cell": 5.6, "rho_g_cm3": 5.94, "sg": "P4/mmm, No. 123"}

(4)
{"formula": "CdSNO2", "functional": "PBE", "state": "optimized geometry", "cell": [[4.1687, 0.0000, 0.0000], [0.0000, 4.1687, 0.0000], [0.0000, 0.0000, 4.4753]], "species": ["Cd", "S", "N", "O", "O"], "frac_coords": [[0.0000, 0.0000, 0.0000], [0.5000, 0.5000, 0.5000], [0.0000, 0.0000, 0.5000], [0.0000, 0.5000, 0.0000], [0.5000, 0.0000, 0.0000]], "energy_ev_per_atom": -3.11, "magmom_total_mub_per_cell": 1.1, "rho_g_cm3": 4.07, "sg": "P4/mmm, No. 123"}

(5)
{"formula": "CdSNO2", "functional": "PBE", "state": "optimized geometry", "cell": [[3.4781, 0.0000, 0.0000], [0.0000, 3.4781, 0.0000], [0.0000, 0.0000, 6.5891]], "species": ["Cd", "S", "N", "O", "O"], "frac_coords": [[0.0000, 0.0000, 0.0000], [0.5000, 0.5000, 0.0000], [0.0000, 0.0000, 0.5000], [0.0000, 0.5000, 0.5000], [0.5000, 0.0000, 0.5000]], "energy_ev_per_atom": -3.48, "magmom_total_mub_per_cell": 0.8, "rho_g_cm3": 3.97, "sg": "P4/mmm, No. 123"}

(6)
{"formula": "CdSNO2", "functional": "PBE", "state": "optimized geometry", "cell": [[3.9722, 0.0000, 0.0000], [0.0000, 3.9722, 0.0000], [0.0000, 0.0000, 3.3847]], "species": ["Cd", "S", "N", "O", "O"], "frac_coords": [[0.0000, 0.0000, 0.0000], [0.5000, 0.5000, 0.5000], [0.5000, 0.5000, 0.0000], [0.0000, 0.5000, 0.5000], [0.5000, 0.0000, 0.5000]], "energy_ev_per_atom": -4.26, "magmom_total_mub_per_cell": 0.0, "rho_g_cm3": 5.92, "sg": "P4/mmm, No. 123"}

(7)
{"formula": "CdSN2O", "functional": "PBE", "state": "optimized geometry", "cell": [[3.3357, 0.0000, 0.0000], [0.0000, 3.3357, 0.0000], [0.0000, 0.0000, 5.4483]], "species": ["Cd", "S", "N", "N", "O"], "frac_coords": [[0.0000, 0.0000, 0.0000], [0.5000, 0.5000, 0.5000], [0.0000, 0.5000, 0.5000], [0.5000, 0.0000, 0.5000], [0.5000, 0.5000, 0.0000]], "energy_ev_per_atom": -4.35, "magmom_total_mub_per_cell": 0.0, "rho_g_cm3": 5.16, "sg": "P4/mmm, No. 123"}

(8)
{"formula": "CdSN2O", "functional": "PBE", "state": "optimized geometry", "cell": [[4.3698, 0.0000, 0.0000], [0.0000, 4.3698, 0.0000], [0.0000, 0.0000, 5.4658]], "species": ["Cd", "S", "N", "N", "O"], "frac_coords": [[0.0000, 0.0000, 0.0000], [0.0000, 0.0000, 0.5000], [0.0000, 0.5000, 0.0000], [0.5000, 0.0000, 0.0000], [0.5000, 0.5000, 0.5000]], "energy_ev_per_atom": -2.94, "magmom_total_mub_per_cell": 7.4, "rho_g_cm3": 3.00, "sg": "P4/mmm, No. 123"}

(9)
{"formula": "CdSN2O", "functional": "PBE", "state": "optimized geometry", "cell": [[3.9915, 0.0000, 0.0000], [0.0000, 3.9915, 0.0000], [0.0000, 0.0000, 3.8314]], "species": ["Cd", "S", "N", "N", "O"], "frac_coords": [[0.0000, 0.0000, 0.0000], [0.5000, 0.5000, 0.0000], [0.0000, 0.5000, 0.5000], [0.5000, 0.0000, 0.5000], [0.5000, 0.5000, 0.5000]], "energy_ev_per_atom": -3.41, "magmom_total_mub_per_cell": 1.7, "rho_g_cm3": 5.13, "sg": "P4/mmm, No. 123"}

(10)
{"formula": "CdSN2O", "functional": "PBE", "state": "optimized geometry", "cell": [[4.3818, 0.0000, 0.0000], [0.0000, 4.3818, 0.0000], [0.0000, 0.0000, 4.1736]], "species": ["Cd", "S", "N", "N", "O"], "frac_coords": [[0.0000, 0.0000, 0.0000], [0.5000, 0.5000, 0.5000], [0.0000, 0.5000, 0.0000], [0.5000, 0.0000, 0.0000], [0.0000, 0.0000, 0.5000]], "energy_ev_per_atom": -3.16, "magmom_total_mub_per_cell": 1.6, "rho_g_cm3": 3.91, "sg": "P4/mmm, No. 123"}

(11)
{"formula": "CdSbNO2", "functional": "PBE", "state": "optimized geometry", "cell": [[3.9649, 0.0000, 0.0000], [0.0000, 3.9649, 0.0000], [0.0000, 0.0000, 4.1207]], "species": ["Cd", "Sb", "N", "O", "O"], "frac_coords": [[0.0000, 0.0000, 0.0000], [0.5000, 0.5000, 0.5000], [0.5000, 0.5000, 0.0000], [0.0000, 0.5000, 0.5000], [0.5000, 0.0000, 0.5000]], "energy_ev_per_atom": -4.93, "magmom_total_mub_per_cell": 0.0, "rho_g_cm3": 7.18, "sg": "P4/mmm, No. 123"}

(12)
{"formula": "CdSbNO2", "functional": "PBE", "state": "optimized geometry", "cell": [[4.1034, 0.0000, 0.0000], [0.0000, 4.1034, 0.0000], [0.0000, 0.0000, 4.2637]], "species": ["Cd", "Sb", "N", "O", "O"], "frac_coords": [[0.0000, 0.0000, 0.0000], [0.5000, 0.5000, 0.5000], [0.0000, 0.0000, 0.5000], [0.0000, 0.5000, 0.0000], [0.5000, 0.0000, 0.0000]], "energy_ev_per_atom": -4.00, "magmom_total_mub_per_cell": 0.6, "rho_g_cm3": 6.48, "sg": "P4/mmm, No. 123"}